TbGdPtRh after structural relaxation, computed with PBE.

The space group is F-43m (No. 216) and the conventional cell measures 6.970, 6.970 and 6.970 Å, with angles of 90.00, 90.00 and 90.00 degrees. Symmetry generates all atoms from Tb at (0.000, 0.000, 0.000), Gd at (0.000, 0.000, 0.500), Pt at (0.250, 0.250, 0.250) and Rh at (0.250, 0.250, 0.750).

As for the volume: 21.2 Å³/atom. For the total magnetization, the calculation gives 28.1 μB/cell. The formation energy comes out at -999.4 meV per atom.

=====

GaSnOs3 after structural relaxation, computed with PBE.

The space group is Pm-3m (No. 221) and the conventional cell measures 4.537, 4.537 and 4.537 Å, with angles of 90.00, 90.00 and 90.00 degrees. Symmetry generates all atoms from Ga at (0.000, 0.000, 0.000), Sn at (0.500, 0.500, 0.500) and Os at (0.000, 0.000, 0.500).

As for the volume: 18.7 Å³/atom. For the total magnetization, the calculation gives 0.6 μB/cell. The formation energy comes out at 1642.0 meV per atom. The energy above the most stable polymorph in this dataset is 0 meV/atom.

=====

Tb2Er2TmSc after structural relaxation, computed with PBE.

The space group is Pnnm (No. 58) and the conventional cell measures 6.459, 17.243 and 3.303 Å, with angles of 90.00, 90.00 and 90.00 degrees. Symmetry generates all atoms from Tb at (0.246, 0.181, 0.000), Er at (0.244, 0.354, 0.500), Tm at (0.000, 0.500, 0.000) and Sc at (0.000, 0.000, 0.000).

As for the volume: 30.7 Å³/atom. For the total magnetization, the calculation gives 0.0 μB/cell. The formation energy comes out at 281.8 meV per atom.